VASP calculation (PBE-GGA) on an optimized crystal structure of CoTc2Te.

Cell: 4.725 4.725 4.619 Å, 81.94 81.94 37.57°
Last column: magnetic moment on the atom in μB.
Atoms (fractional coordinates):
Tc1 0.979 0.979 0.040  0.04
Co1 0.250 0.250 0.250  0.63
Te1 0.750 0.750 0.750  -0.01
Tc2 0.521 0.521 0.460  0.04

Properties
Electronic total energy ... -29.49 eV/cell
Formation energy (no corrections) ... 0.37 eV/atom
Space-group type ... C2/m (12)
N(E_F) ... 4.04 states/eV/cell
V ... 62 Å³/cell